Arrangement A

Pa2ZnHg (GGA-PBE, optimized geometry); space-group type = No. 123; Fermi-level density of states = 6.82 states/eV/f.u.
1.0
3.109 0.000 0.000
0.000 3.109 0.000
0.000 0.000 9.240
Hg Pa Zn
1 2 1
Cartesian
1.554 1.554 4.620 Hg
0.000 0.000 7.089 Pa
0.000 0.000 2.151 Pa
1.554 1.554 0.000 Zn


Arrangement B

Pa2ZnHg (GGA-PBE, optimized geometry); space-group type = No. 166; Fermi-level density of states = 7.52 states/eV/f.u.
1.0
-0.232 2.063 -2.336
-2.276 2.142 0.027
6.086 8.685 4.975
Pa Hg Zn
2 1 1
Cartesian
4.129 6.625 3.351 Pa
-0.550 6.264 -0.685 Pa
0.000 0.000 0.000 Hg
1.789 6.445 1.333 Zn


Arrangement C

Pa2ZnHg (GGA-PBE, optimized geometry); space-group type = No. 225; Fermi-level density of states = 9.74 states/eV/f.u.
1.0
5.136 0.000 0.000
2.568 4.448 0.000
2.568 1.483 4.193
Pa Zn Hg
2 1 1
Cartesian
7.704 4.448 3.145 Pa
2.568 1.483 1.048 Pa
5.136 2.965 2.097 Zn
0.000 0.000 0.000 Hg


Arrangement D

Pa2ZnHg (GGA-PBE, optimized geometry); space-group type = No. 123; Fermi-level density of states = 6.34 states/eV/f.u.
1.0
4.717 0.000 0.000
0.000 4.354 0.000
0.000 0.000 4.354
Pa Zn Hg
2 1 1
Cartesian
0.000 2.177 0.000 Pa
0.000 0.000 2.177 Pa
2.358 0.000 0.000 Zn
2.358 2.177 2.177 Hg


Energy comparison, zero being the most stable, in meV/atom: arrangement A 0; arrangement B 206; arrangement C 243; arrangement D 11.


Arrangement A

Zr2PaHg (GGA-PBE, optimized geometry); space-group type = No. 123; Fermi-level density of states = 4.45 states/eV/f.u.
1.0
3.631 0.000 0.000
0.000 3.631 0.000
0.000 0.000 6.831
Hg Pa Zr
1 1 2
Cartesian
1.815 1.815 3.416 Hg
1.815 1.815 0.000 Pa
0.000 0.000 1.679 Zr
0.000 0.000 5.152 Zr


Arrangement B

Zr2PaHg (GGA-PBE, optimized geometry); space-group type = No. 216; Fermi-level density of states = 6.17 states/eV/f.u.
1.0
-0.986 -4.316 -2.518
0.563 -4.493 2.330
-4.096 -2.773 1.207
Hg Zr Pa
1 2 1
Cartesian
-3.390 -8.686 0.765 Hg
-1.130 -2.895 0.255 Zr
-0.424 -8.809 -0.187 Zr
-2.260 -5.791 0.510 Pa


Energy comparison, zero being the most stable, in meV/atom: arrangement A 0; arrangement B 163.


Arrangement A

ZrPaHg2 (GGA-PBE, optimized geometry); space-group type = No. 123; Fermi-level density of states = 5.73 states/eV/f.u.
1.0
-1.075 2.947 0.553
-2.104 -0.323 -2.370
-6.026 -3.286 5.795
Zr Pa Hg
1 1 2
Cartesian
-1.589 1.312 -0.908 Zr
-4.602 -0.331 1.989 Pa
-1.419 -0.774 1.365 Hg
-4.606 -2.512 4.430 Hg


Arrangement B

ZrPaHg2 (GGA-PBE, optimized geometry); space-group type = No. 123; Fermi-level density of states = 5.57 states/eV/f.u.
1.0
-4.565 -0.690 0.646
-0.283 -1.891 -4.021
0.857 -3.977 1.810
Zr Pa Hg
1 1 2
Cartesian
-1.996 -3.279 -0.783 Zr
-2.283 -0.345 0.323 Pa
0.428 -1.988 0.905 Hg
-0.142 -0.945 -2.010 Hg


Energy comparison, zero being the most stable, in meV/atom: arrangement A 0; arrangement B 79.


Arrangement A

Hg2Pb (GGA-PBE, optimized geometry); space-group type = No. 194; Fermi-level density of states = 1.07 states/eV/f.u.
1.0
5.598 0.000 0.000
-2.799 4.848 0.000
0.000 0.000 6.179
Hg Pb
4 2
Cartesian
0.000 0.000 0.000 Hg
2.799 1.616 1.545 Hg
0.000 0.000 3.090 Hg
0.000 3.232 4.634 Hg
2.799 1.616 4.634 Pb
0.000 3.232 1.545 Pb


Arrangement B

Hg2Pb (GGA-PBE, optimized geometry); space-group type = No. 227; Fermi-level density of states = 1.36 states/eV/f.u.
1.0
6.129 0.000 0.000
3.064 5.307 0.000
3.064 1.769 5.004
Hg Pb
4 2
Cartesian
1.532 2.654 0.000 Hg
3.064 0.000 0.000 Hg
4.596 2.654 0.000 Hg
6.129 3.538 2.502 Hg
9.193 5.307 1.876 Pb
3.064 1.769 3.127 Pb


Arrangement C

Hg2Pb (GGA-PBE, optimized geometry); space-group type = No. 123; Fermi-level density of states = 1.33 states/eV/f.u.
1.0
4.925 0.000 0.000
0.000 4.925 0.000
0.000 0.000 4.037
Hg Pb
2 1
Cartesian
0.000 2.462 2.019 Hg
2.462 0.000 2.019 Hg
0.000 0.000 0.000 Pb


Arrangement D

Hg2Pb (GGA-PBE, optimized geometry); space-group type = No. 12; Fermi-level density of states = 0.92 states/eV/f.u.
1.0
6.392 -0.029 0.030
5.450 3.340 0.030
2.139 0.598 7.789
Hg Pb
4 2
Cartesian
7.816 2.185 2.203 Hg
4.675 1.307 2.613 Hg
11.813 3.303 0.120 Hg
12.520 3.501 4.755 Hg
5.273 1.474 7.413 Pb
9.357 2.616 5.193 Pb


Energy comparison, zero being the most stable, in meV/atom: arrangement A 36; arrangement B 51; arrangement C 70; arrangement D 0.